10
Lattice="4.130 0.000 0.000 0.000 4.130 0.000 0.000 0.000 11.149" Properties=species:S:1:pos:R:3 comment="Ce2MnGa3Pt4, optimized geometry, DFT PBE-GGA" ef_mev_per_atom=-835.7 pbc="T T T"
Ce 2.065 0.000 2.829
Ce 0.000 2.065 8.320
Mn 2.065 2.065 5.574
Ga 0.000 0.000 5.574
Ga 2.065 0.000 9.672
Ga 0.000 2.065 1.477
Pt 2.065 2.065 0.000
Pt 0.000 0.000 0.000
Pt 2.065 0.000 7.171
Pt 0.000 2.065 3.978